Run a
## Mn2InTc2 (GGA-PBE)

Data for crystalline Mn2InTc2 at its relaxed geometry.

Cell: 7.3971 7.3971 2.7407 Å, 90.00 90.00 90.00°
Closest atoms and distances in Å follow each position.
Fractional positions:
1 Mn 0.1630 0.3370 0.0000  6 Tc 2.55-2.60, 2 Mn 2.74
2 Mn 0.3370 0.8370 0.0000  6 Tc 2.55-2.60, 2 Mn 2.74
3 Mn 0.6630 0.1630 0.0000  6 Tc 2.55-2.60, 2 Mn 2.74
4 Mn 0.8370 0.6630 0.0000  6 Tc 2.55-2.60, 2 Mn 2.74
5 In 0.0000 0.0000 0.5000  2 In 2.74, 4 Tc 2.92
6 In 0.5000 0.5000 0.5000  2 In 2.74, 4 Tc 2.92
7 Tc 0.1254 0.6254 0.5000  6 Mn 2.55-2.60, 3 Tc 2.62-2.74
8 Tc 0.3746 0.1254 0.5000  6 Mn 2.55-2.60, 3 Tc 2.62-2.74
9 Tc 0.6254 0.8746 0.5000  6 Mn 2.55-2.60, 3 Tc 2.62-2.74
10 Tc 0.8746 0.3746 0.5000  6 Mn 2.55-2.60, 3 Tc 2.62-2.74

Properties
- Volume: 150 Å³/cell
- Calculated density: 9.32 Mg/m³

Run b
## Mn2InTc2 (GGA-PBE)

Data for crystalline Mn2InTc2 at its relaxed geometry.

Cell: 7.2188 7.2188 2.7832 Å, 90.00 90.00 90.00°
Closest atoms and distances in Å follow each position.
Fractional positions:
1 Mn 0.1243 0.3757 0.0000  6 Tc 2.49-2.61, 3 Mn 2.54-2.78
2 Mn 0.3757 0.8757 0.0000  6 Tc 2.49-2.61, 3 Mn 2.54-2.78
3 Mn 0.6243 0.1243 0.0000  6 Tc 2.49-2.61, 3 Mn 2.54-2.78
4 Mn 0.8757 0.6243 0.0000  6 Tc 2.49-2.61, 3 Mn 2.54-2.78
5 In 0.0000 0.0000 0.0000  2 In 2.78, 4 Mn 2.86, 8 Tc 3.05
6 In 0.5000 0.5000 0.0000  2 In 2.78, 4 Mn 2.86, 8 Tc 3.05
7 Tc 0.1598 0.6598 0.5000  6 Mn 2.49-2.61, 2 Tc 2.78
8 Tc 0.3402 0.1598 0.5000  6 Mn 2.49-2.61, 2 Tc 2.78
9 Tc 0.6598 0.8402 0.5000  6 Mn 2.49-2.61, 2 Tc 2.78
10 Tc 0.8402 0.3402 0.5000  6 Mn 2.49-2.61, 2 Tc 2.78

Properties
- Volume: 145 Å³/cell
- Calculated density: 9.63 Mg/m³

Which of them is the most stable, and which is the least stable? run b and run a, in that order.